DFT (PBE-GGA) results for SrCuSi2Pd after structural relaxation.

Calculated values
- DOS(E_F): 2.11 states/eV per cell
- Raw formation energy: -0.54 eV/atom
- Total moment: 0.00 Bohr magnetons per cell
- V: 91 Å³/f.u.

a b c (Å): 5.824 5.824 5.824
angles (deg): 136.88 136.88 62.63
Element x y z (fractional)
Sr1 0.000 0.000 0.000
Cu1 0.250 0.750 0.500
Si1 0.376 0.376 0.000
Si2 0.624 0.624 0.000
Pd1 0.750 0.250 0.500